A plane-wave DFT calculation with GGA-PBE was carried out for a relaxed structure of Sc2CrSi.

Properties
E_form (uncorrected): -0.212 eV/atom
M_tot: 3.02 μB/f.u.
ρ: 3.965 g cm⁻³

CIF file:
```
data_Sc2CrSi
_space_group_name_H-M_alt 'P 4/m m m'
_space_group_IT_number 123
_space_group_name_Hall '-P 4 2'
_cell_length_a 4.316
_cell_length_b 4.316
_cell_length_c 3.821
_cell_angle_alpha 90.00
_cell_angle_beta 90.00
_cell_angle_gamma 90.00
loop_
_atom_site_label
_atom_site_fract_x
_atom_site_fract_y
_atom_site_fract_z
Sc1 0.000 0.500 0.000
Cr1 0.000 0.000 0.500
Si1 0.500 0.500 0.500
```

***

A plane-wave DFT calculation with GGA-PBE was carried out for a relaxed structure of TbDy2Pb.

Properties
Distance to the lowest polymorph of the same formula: 30 kJ/mol of formula units
M_tot: 0.00 μB/f.u.
Energy of formation: -206 meV per atom
ρ: 9.399 g cm⁻³

CIF file:
```
data_TbDy2Pb
_space_group_name_H-M_alt 'P 4/m m m'
_space_group_IT_number 123
_space_group_name_Hall '-P 4 2'
_cell_length_a 3.625
_cell_length_b 3.625
_cell_length_c 9.293
_cell_angle_alpha 90.00
_cell_angle_beta 90.00
_cell_angle_gamma 90.00
loop_
_atom_site_label
_atom_site_fract_x
_atom_site_fract_y
_atom_site_fract_z
Tb1 0.000 0.000 0.000
Dy1 0.500 0.500 0.265
Pb1 0.000 0.000 0.500
```

***

A plane-wave DFT calculation with GGA-PBE was carried out for a relaxed structure of Pm3SnN2.

Properties
E_form (uncorrected): -1.002 eV/atom
M_tot: 0.00 μB/f.u.
ρ: 6.948 g cm⁻³

CIF file:
```
data_Pm3SnN2
_space_group_name_H-M_alt 'C m c m'
_space_group_IT_number 63
_space_group_name_Hall '-C 2c 2'
_cell_length_a 11.488
_cell_length_b 7.744
_cell_length_c 6.251
_cell_angle_alpha 90.00
_cell_angle_beta 90.00
_cell_angle_gamma 90.00
loop_
_atom_site_label
_atom_site_fract_x
_atom_site_fract_y
_atom_site_fract_z
Pm1 0.000 0.113 0.250
Pm2 0.243 0.142 0.750
Sn1 0.000 0.429 0.750
N1 0.142 0.000 0.000
```

***

A plane-wave DFT calculation with GGA-PBE was carried out for a relaxed structure of CdTePt.

Properties
Distance to the lowest polymorph of the same formula: 9 kJ/mol of formula units
E_form (uncorrected): -0.270 eV/atom
M_tot: 0.00 μB/f.u.
ρ: 10.326 g cm⁻³

CIF file:
```
data_CdTePt
_space_group_name_H-M_alt 'F -4 3 m'
_space_group_IT_number 216
_space_group_name_Hall 'F -4 2 3'
_cell_length_a 6.541
_cell_length_b 6.541
_cell_length_c 6.541
_cell_angle_alpha 90.00
_cell_angle_beta 90.00
_cell_angle_gamma 90.00
loop_
_atom_site_label
_atom_site_fract_x
_atom_site_fract_y
_atom_site_fract_z
Cd1 0.000 0.000 0.000
Te1 0.000 0.000 0.500
Pt1 0.250 0.250 0.750
```

***

A plane-wave DFT calculation with GGA-PBE was carried out for a relaxed structure of CePRuF.

Properties
E_form (uncorrected): -2.035 eV/atom
M_tot: 0.41 μB/f.u.
ρ: 7.360 g cm⁻³

CIF file:
```
data_CePRuF
_space_group_name_H-M_alt 'P 4/n m m'
_space_group_IT_number 129
_cell_length_a 4.006
_cell_length_b 4.006
_cell_length_c 8.188
_cell_angle_alpha 90.00
_cell_angle_beta 90.00
_cell_angle_gamma 90.00
loop_
_space_group_symop_operation_xyz
'x,y,z'
'-x,-y,-z'
'-y+1/2,x,z'
'y+1/2,-x,-z'
'-x+1/2,-y+1/2,z'
'x+1/2,y+1/2,-z'
'y,-x+1/2,z'
'-y,x+1/2,-z'
'x+1/2,-y,-z'
'-x+1/2,y,z'
'-y,-x,-z'
'y,x,z'
'-x,y+1/2,-z'
'x,-y+1/2,z'
'y+1/2,x+1/2,-z'
'-y+1/2,-x+1/2,z'
loop_
_atom_site_label
_atom_site_fract_x
_atom_site_fract_y
_atom_site_fract_z
Ce1 0.250 0.250 0.195
P1 0.250 0.250 0.652
Ru1 0.250 0.750 0.500
F1 0.250 0.750 0.000
```

***

A plane-wave DFT calculation with GGA-PBE was carried out for a relaxed structure of Pm2EuCd.

Properties
Distance to the lowest polymorph of the same formula: 0 kJ/mol of formula units
M_tot: 7.73 μB/f.u.
Energy of formation: -106 meV per atom
ρ: 7.012 g cm⁻³

CIF file:
```
data_Pm2EuCd
_space_group_name_H-M_alt 'P 4/m m m'
_space_group_IT_number 123
_space_group_name_Hall '-P 4 2'
_cell_length_a 3.824
_cell_length_b 3.824
_cell_length_c 8.977
_cell_angle_alpha 90.00
_cell_angle_beta 90.00
_cell_angle_gamma 90.00
loop_
_atom_site_label
_atom_site_fract_x
_atom_site_fract_y
_atom_site_fract_z
Pm1 0.000 0.000 0.209
Eu1 0.500 0.500 0.500
Cd1 0.500 0.500 0.000
```

***

A plane-wave DFT calculation with GGA-PBE was carried out for a relaxed structure of KNa5.

Properties
Distance to the lowest polymorph of the same formula: 4 kJ/mol of formula units
M_tot: 0.00 μB/f.u.
Energy of formation: 27 meV per atom
ρ: 0.956 g cm⁻³

CIF file:
```
data_KNa5
_space_group_name_H-M_alt 'P 6/m m m'
_space_group_IT_number 191
_space_group_name_Hall '-P 6 2'
_cell_length_a 7.2099
_cell_length_b 7.2099
_cell_length_c 5.9440
_cell_angle_alpha 90.00
_cell_angle_beta 90.00
_cell_angle_gamma 120.00
loop_
_atom_site_label
_atom_site_fract_x
_atom_site_fract_y
_atom_site_fract_z
K1 0.0000 0.0000 0.0000
Na1 0.0000 0.5000 0.5000
Na2 0.3333 0.6667 0.0000
```

***

A plane-wave DFT calculation with GGA-PBE was carried out for a relaxed structure of Sr2AlNi.

Properties
M_tot: 0.00 μB/f.u.
Energy of formation: 118 meV per atom
ρ: 3.945 g cm⁻³

CIF file:
```
data_Sr2AlNi
_space_group_name_H-M_alt 'C m m m'
_space_group_IT_number 65
_space_group_name_Hall '-C 2 2'
_cell_length_a 7.502
_cell_length_b 7.525
_cell_length_c 3.891
_cell_angle_alpha 90.00
_cell_angle_beta 90.00
_cell_angle_gamma 90.00
loop_
_atom_site_label
_atom_site_fract_x
_atom_site_fract_y
_atom_site_fract_z
Sr1 0.250 0.250 0.000
Al1 0.000 0.000 0.500
Ni1 0.000 0.500 0.500
```

***

A plane-wave DFT calculation with GGA-PBE was carried out for a relaxed structure of PaCu3Ge3.

Properties
Distance to the lowest polymorph of the same formula: 0 kJ/mol of formula units
M_tot: 0.00 μB/f.u.
Energy of formation: -99 meV per atom
ρ: 8.972 g cm⁻³

CIF file:
```
data_PaCu3Ge3
_space_group_name_H-M_alt 'P 63/m'
_space_group_IT_number 176
_space_group_name_Hall '-P 6c'
_cell_length_a 8.0913
_cell_length_b 8.0913
_cell_length_c 4.1757
_cell_angle_alpha 90.00
_cell_angle_beta 90.00
_cell_angle_gamma 120.00
loop_
_atom_site_label
_atom_site_fract_x
_atom_site_fract_y
_atom_site_fract_z
Pa1 0.3333 0.6667 0.2500
Cu1 0.0470 0.2084 0.2500
Ge1 0.0698 0.4054 0.7500
```

***

A plane-wave DFT calculation with GGA-PBE was carried out for a relaxed structure of Th2GaSi3.

Properties
E_form (uncorrected): -0.603 eV/atom
M_tot: 0.00 μB/f.u.
ρ: 8.122 g cm⁻³

CIF file:
```
data_Th2GaSi3
_space_group_name_H-M_alt 'I m m 2'
_space_group_IT_number 44
_cell_length_a 4.138
_cell_length_b 4.188
_cell_length_c 14.584
_cell_angle_alpha 90.00
_cell_angle_beta 90.00
_cell_angle_gamma 90.00
loop_
_space_group_symop_operation_xyz
'x,y,z'
'-x,-y,z'
'-x,y,z'
'x,-y,z'
'x+1/2,y+1/2,z+1/2'
'-x+1/2,-y+1/2,z+1/2'
'-x+1/2,y+1/2,z+1/2'
'x+1/2,-y+1/2,z+1/2'
loop_
_atom_site_label
_atom_site_fract_x
_atom_site_fract_y
_atom_site_fract_z
Th1 0.000 0.000 0.000
Th2 0.000 0.500 0.241
Ga1 0.000 0.000 0.413
Si1 0.000 0.000 0.581
Si2 0.000 0.500 0.660
Si3 0.000 0.500 0.825
```

***

A plane-wave DFT calculation with GGA-PBE was carried out for a relaxed structure of DySc2Ag3Te6.

Properties
E_form (uncorrected): -0.752 eV/atom
M_tot: 0.00 μB/f.u.
ρ: 6.670 g cm⁻³

CIF file:
```
data_DySc2Ag3Te6
_space_group_name_H-M_alt 'C 1 2/m 1'
_space_group_IT_number 12
_cell_length_a 7.416
_cell_length_b 12.852
_cell_length_c 7.426
_cell_angle_alpha 90.00
_cell_angle_beta 109.29
_cell_angle_gamma 90.00
loop_
_space_group_symop_operation_xyz
'x,y,z'
'-x,-y,-z'
'-x,y,-z'
'x,-y,z'
'x+1/2,y+1/2,z'
'-x+1/2,-y+1/2,-z'
'-x+1/2,y+1/2,-z'
'x+1/2,-y+1/2,z'
loop_
_atom_site_label
_atom_site_fract_x
_atom_site_fract_y
_atom_site_fract_z
Dy1 0.000 0.000 0.000
Sc1 0.000 0.332 0.000
Ag1 0.000 0.160 0.500
Ag2 0.000 0.500 0.500
Te1 0.235 0.500 0.245
Te2 0.246 0.327 0.755
```

***

A plane-wave DFT calculation with GGA-PBE was carried out for a relaxed structure of Pm4In2GaHg.

Properties
M_tot: 0.00 μB/f.u.
Energy of formation: -492 meV per atom
ρ: 8.139 g cm⁻³

CIF file:
```
data_Pm4In2GaHg
_space_group_name_H-M_alt 'R -3 m'
_space_group_IT_number 166
_space_group_name_Hall '-R 3 2"'
_cell_length_a 5.3879
_cell_length_b 5.3879
_cell_length_c 26.2925
_cell_angle_alpha 90.00
_cell_angle_beta 90.00
_cell_angle_gamma 120.00
loop_
_atom_site_label
_atom_site_fract_x
_atom_site_fract_y
_atom_site_fract_z
Pm1 0.0000 0.0000 0.1217
Pm2 0.0000 0.0000 0.3723
In1 0.0000 0.0000 0.2470
Ga1 0.0000 0.0000 0.0000
Hg1 0.0000 0.0000 0.5000
```

***

Q: What is the ρ in the second record?
A: 9.399 g cm⁻³

***

Q: Which value of M_tot does entry 10 give?
A: 0.00 μB/f.u.

***

Q: Which of these has the highest ρ?
A: CdTePt

***

Q: Which formula does entry 7 have?
A: KNa5